[1]
# GGA-PBE Na2Tl5Sn4, optimized geometry
# **Mass density**: 7930 kg/m3
# **Fermi-level density of states**: 9.13 states/eV/cell
# **Calculated total energy**: -0.20685 Ry per atom
data_Na2Tl5Sn4
_chemical_formula_sum 'Na4 Tl10 Sn8'
_symmetry_space_group_name_H-M 'C 1 2/m 1'
_symmetry_Int_Tables_number 12
_cell_length_a 18.268
_cell_length_b 5.606
_cell_length_c 6.311
_cell_angle_alpha 90.00
_cell_angle_beta 91.42
_cell_angle_gamma 90.00
loop_
_symmetry_equiv_pos_as_xyz
'x,y,z'
'-x,-y,-z'
'-x,y,-z'
'x,-y,z'
'x+1/2,y+1/2,z'
'-x+1/2,-y+1/2,-z'
'-x+1/2,y+1/2,-z'
'x+1/2,-y+1/2,z'
loop_
_atom_site_label
_atom_site_type_symbol
_atom_site_fract_x
_atom_site_fract_y
_atom_site_fract_z
Na1 Na 0.098 0.000 0.047
Tl1 Tl 0.000 0.000 0.500
Tl2 Tl 0.191 0.000 0.568
Tl3 Tl 0.212 0.500 0.911
Sn1 Sn 0.038 0.500 0.783
Sn2 Sn 0.122 0.500 0.362

[2]
# GGA-PBE NaTl5Sn, optimized geometry
# **Mass density**: 9061 kg/m3
# **ΔE to the lowest computed polymorph**: 4 meV/atom
# **Fermi-level density of states**: 16.21 states/eV/cell
# **Calculated total energy**: -0.17968 Ry per atom
data_NaTl5Sn
_chemical_formula_sum 'Na4 Tl20 Sn4'
_symmetry_space_group_name_H-M 'C 1 2/c 1'
_symmetry_Int_Tables_number 15
_cell_length_a 7.867
_cell_length_b 9.168
_cell_length_c 12.363
_cell_angle_alpha 90.00
_cell_angle_beta 106.93
_cell_angle_gamma 90.00
loop_
_symmetry_equiv_pos_as_xyz
'x,y,z'
'-x,-y,-z'
'-x,y,-z+1/2'
'x,-y,z+1/2'
'x+1/2,y+1/2,z'
'-x+1/2,-y+1/2,-z'
'-x+1/2,y+1/2,-z+1/2'
'x+1/2,-y+1/2,z+1/2'
loop_
_atom_site_label
_atom_site_type_symbol
_atom_site_fract_x
_atom_site_fract_y
_atom_site_fract_z
Na1 Na 0.000 0.190 0.250
Tl1 Tl 0.000 0.176 0.750
Tl2 Tl 0.107 0.491 0.647
Tl3 Tl 0.177 0.103 0.549
Sn1 Sn 0.250 0.250 0.000

[3]
# GGA-PBE Na3Tl3Sn, optimized geometry
# **Mass density**: 6714 kg/m3
# **ΔE to the lowest computed polymorph**: 0 meV/atom
# **Fermi-level density of states**: 7.77 states/eV/cell
# **Calculated total energy**: -0.16627 Ry per atom
data_Na3Tl3Sn
_chemical_formula_sum 'Na6 Tl6 Sn2'
_symmetry_space_group_name_H-M 'P 63/m'
_symmetry_Int_Tables_number 176
_symmetry_space_group_name_Hall '-P 6c'
_cell_length_a 9.1309
_cell_length_b 9.1309
_cell_length_c 5.4867
_cell_angle_alpha 90.00
_cell_angle_beta 90.00
_cell_angle_gamma 120.00
loop_
_atom_site_label
_atom_site_type_symbol
_atom_site_fract_x
_atom_site_fract_y
_atom_site_fract_z
Na1 Na 0.0994 0.6232 0.2500
Tl1 Tl 0.0548 0.8076 0.7500
Sn1 Sn 0.3333 0.6667 0.7500

[4]
# GGA-PBE Na4Tl3Sn5, optimized geometry
# **Mass density**: 5453 kg/m3
# **Fermi-level density of states**: 10.76 states/eV/cell
# **Calculated total energy**: -0.19825 Ry per atom
data_Na4Tl3Sn5
_chemical_formula_sum 'Na8 Tl6 Sn10'
_symmetry_space_group_name_H-M 'C 1 2/m 1'
_symmetry_Int_Tables_number 12
_cell_length_a 15.244
_cell_length_b 5.653
_cell_length_c 11.291
_cell_angle_alpha 90.00
_cell_angle_beta 125.62
_cell_angle_gamma 90.00
loop_
_symmetry_equiv_pos_as_xyz
'x,y,z'
'-x,-y,-z'
'-x,y,-z'
'x,-y,z'
'x+1/2,y+1/2,z'
'-x+1/2,-y+1/2,-z'
'-x+1/2,y+1/2,-z'
'x+1/2,-y+1/2,z'
loop_
_atom_site_label
_atom_site_type_symbol
_atom_site_fract_x
_atom_site_fract_y
_atom_site_fract_z
Na1 Na 0.013 0.000 0.193
Na2 Na 0.246 0.500 0.774
Tl1 Tl 0.000 0.000 0.500
Tl2 Tl 0.183 0.500 0.447
Sn1 Sn 0.000 0.500 0.500
Sn2 Sn 0.106 0.500 0.132
Sn3 Sn 0.230 0.000 0.920

[5]
# GGA-PBE Na4TlSn2, optimized geometry
# **Mass density**: 4446 kg/m3
# **ΔE to the lowest computed polymorph**: 0 meV/atom
# **Fermi-level density of states**: 4.37 states/eV/cell
# **Calculated total energy**: -0.17455 Ry per atom
data_Na4TlSn2
_chemical_formula_sum 'Na8 Tl2 Sn4'
_symmetry_space_group_name_H-M 'C 1 2/m 1'
_symmetry_Int_Tables_number 12
_cell_length_a 11.040
_cell_length_b 4.518
_cell_length_c 8.129
_cell_angle_alpha 90.00
_cell_angle_beta 100.54
_cell_angle_gamma 90.00
loop_
_symmetry_equiv_pos_as_xyz
'x,y,z'
'-x,-y,-z'
'-x,y,-z'
'x,-y,z'
'x+1/2,y+1/2,z'
'-x+1/2,-y+1/2,-z'
'-x+1/2,y+1/2,-z'
'x+1/2,-y+1/2,z'
loop_
_atom_site_label
_atom_site_type_symbol
_atom_site_fract_x
_atom_site_fract_y
_atom_site_fract_z
Na1 Na 0.059 0.000 0.204
Na2 Na 0.213 0.000 0.649
Tl1 Tl 0.000 0.500 0.500
Sn1 Sn 0.165 0.500 0.938

[6]
# GGA-PBE NaTl8Sn2, optimized geometry
# **Mass density**: 9029 kg/m3
# **ΔE to the lowest computed polymorph**: 69 meV/atom
# **Fermi-level density of states**: 10.30 states/eV/cell
# **Calculated total energy**: -0.18572 Ry per atom
data_NaTl8Sn2
_chemical_formula_sum 'Na2 Tl16 Sn4'
_symmetry_space_group_name_H-M 'C 1 2/m 1'
_symmetry_Int_Tables_number 12
_cell_length_a 9.172
_cell_length_b 14.627
_cell_length_c 5.670
_cell_angle_alpha 90.00
_cell_angle_beta 113.58
_cell_angle_gamma 90.00
loop_
_symmetry_equiv_pos_as_xyz
'x,y,z'
'-x,-y,-z'
'-x,y,-z'
'x,-y,z'
'x+1/2,y+1/2,z'
'-x+1/2,-y+1/2,-z'
'-x+1/2,y+1/2,-z'
'x+1/2,-y+1/2,z'
loop_
_atom_site_label
_atom_site_type_symbol
_atom_site_fract_x
_atom_site_fract_y
_atom_site_fract_z
Na1 Na 0.000 0.000 0.000
Tl1 Tl 0.000 0.218 0.000
Tl2 Tl 0.115 0.500 0.823
Tl3 Tl 0.205 0.119 0.617
Sn1 Sn 0.000 0.315 0.500

[7]
# GGA-PBE Na3TlSn, optimized geometry
# **Mass density**: 4619 kg/m3
# **ΔE to the lowest computed polymorph**: 0 meV/atom
# **Fermi-level density of states**: 3.26 states/eV/cell
# **Calculated total energy**: -0.16196 Ry per atom
data_Na3TlSn
_chemical_formula_sum 'Na6 Tl2 Sn2'
_symmetry_space_group_name_H-M 'P 1 21/m 1'
_symmetry_Int_Tables_number 11
_cell_length_a 7.369
_cell_length_b 4.698
_cell_length_c 8.144
_cell_angle_alpha 90.00
_cell_angle_beta 90.94
_cell_angle_gamma 90.00
loop_
_symmetry_equiv_pos_as_xyz
'x,y,z'
'-x,-y,-z'
'-x,y+1/2,-z'
'x,-y+1/2,z'
loop_
_atom_site_label
_atom_site_type_symbol
_atom_site_fract_x
_atom_site_fract_y
_atom_site_fract_z
Na1 Na 0.055 0.250 0.344
Na2 Na 0.257 0.250 0.752
Na3 Na 0.440 0.250 0.162
Tl1 Tl 0.150 0.750 0.037
Sn1 Sn 0.364 0.750 0.469

[8]
# GGA-PBE Na12Tl3Sn, optimized geometry
# **Mass density**: 3438 kg/m3
# **Fermi-level density of states**: 6.61 states/eV/cell
# **Calculated total energy**: -0.12943 Ry per atom
data_Na12Tl3Sn
_chemical_formula_sum 'Na12 Tl3 Sn1'
_symmetry_space_group_name_H-M 'P 4/m m m'
_symmetry_Int_Tables_number 123
_symmetry_space_group_name_Hall '-P 4 2'
_cell_length_a 5.139
_cell_length_b 5.139
_cell_length_c 18.434
_cell_angle_alpha 90.00
_cell_angle_beta 90.00
_cell_angle_gamma 90.00
loop_
_atom_site_label
_atom_site_type_symbol
_atom_site_fract_x
_atom_site_fract_y
_atom_site_fract_z
Na1 Na 0.000 0.000 0.000
Na2 Na 0.000 0.000 0.246
Na3 Na 0.000 0.000 0.500
Na4 Na 0.000 0.500 0.117
Na5 Na 0.000 0.500 0.374
Tl1 Tl 0.500 0.500 0.244
Tl2 Tl 0.500 0.500 0.500
Sn1 Sn 0.500 0.500 0.000

[9]
# GGA-PBE Na12Tl6Sn, optimized geometry
# **Mass density**: 4650 kg/m3
# **Fermi-level density of states**: 25.17 states/eV/cell
# **Calculated total energy**: -0.13848 Ry per atom
data_Na12Tl6Sn
_chemical_formula_sum 'Na36 Tl18 Sn3'
_symmetry_space_group_name_H-M 'R -3'
_symmetry_Int_Tables_number 148
_symmetry_space_group_name_Hall '-R 3'
_cell_length_a 11.7383
_cell_length_b 11.7383
_cell_length_c 14.5537
_cell_angle_alpha 90.00
_cell_angle_beta 90.00
_cell_angle_gamma 120.00
loop_
_atom_site_label
_atom_site_type_symbol
_atom_site_fract_x
_atom_site_fract_y
_atom_site_fract_z
Na1 Na 0.0392 0.1890 0.3176
Na2 Na 0.0592 0.8400 0.9115
Tl1 Tl 0.0282 0.4356 0.2089
Sn1 Sn 0.0000 0.0000 0.5000

[10]
# GGA-PBE Na2Tl4Sn3, optimized geometry
# **Mass density**: 7866 kg/m3
# **Fermi-level density of states**: 7.36 states/eV/cell
# **Calculated total energy**: -0.20264 Ry per atom
data_Na2Tl4Sn3
_chemical_formula_sum 'Na4 Tl8 Sn6'
_symmetry_space_group_name_H-M 'C 1 2/m 1'
_symmetry_Int_Tables_number 12
_cell_length_a 9.348
_cell_length_b 5.374
_cell_length_c 10.251
_cell_angle_alpha 90.00
_cell_angle_beta 90.39
_cell_angle_gamma 90.00
loop_
_symmetry_equiv_pos_as_xyz
'x,y,z'
'-x,-y,-z'
'-x,y,-z'
'x,-y,z'
'x+1/2,y+1/2,z'
'-x+1/2,-y+1/2,-z'
'-x+1/2,y+1/2,-z'
'x+1/2,-y+1/2,z'
loop_
_atom_site_label
_atom_site_type_symbol
_atom_site_fract_x
_atom_site_fract_y
_atom_site_fract_z
Na1 Na 0.167 0.000 0.220
Tl1 Tl 0.000 0.500 0.334
Tl2 Tl 0.166 0.000 0.884
Sn1 Sn 0.000 0.500 0.000
Sn2 Sn 0.167 0.000 0.546

[11]
# GGA-PBE Na3Tl2Sn4, optimized geometry
# **Mass density**: 6292 kg/m3
# **ΔE to the lowest computed polymorph**: 63 meV/atom
# **Fermi-level density of states**: 8.42 states/eV/cell
# **Calculated total energy**: -0.20740 Ry per atom
data_Na3Tl2Sn4
_chemical_formula_sum 'Na6 Tl4 Sn8'
_symmetry_space_group_name_H-M 'C 1 2/m 1'
_symmetry_Int_Tables_number 12
_cell_length_a 15.140
_cell_length_b 3.503
_cell_length_c 9.868
_cell_angle_alpha 90.00
_cell_angle_beta 106.09
_cell_angle_gamma 90.00
loop_
_symmetry_equiv_pos_as_xyz
'x,y,z'
'-x,-y,-z'
'-x,y,-z'
'x,-y,z'
'x+1/2,y+1/2,z'
'-x+1/2,-y+1/2,-z'
'-x+1/2,y+1/2,-z'
'x+1/2,-y+1/2,z'
loop_
_atom_site_label
_atom_site_type_symbol
_atom_site_fract_x
_atom_site_fract_y
_atom_site_fract_z
Na1 Na 0.000 0.000 0.000
Na2 Na 0.159 0.500 0.552
Tl1 Tl 0.172 0.500 0.225
Sn1 Sn 0.004 0.000 0.669
Sn2 Sn 0.161 0.500 0.885

[12]
# GGA-PBE Na3Tl4Sn4, optimized geometry
# **Mass density**: 6551 kg/m3
# **Fermi-level density of states**: 11.02 states/eV/cell
# **Calculated total energy**: -0.19575 Ry per atom
data_Na3Tl4Sn4
_chemical_formula_sum 'Na6 Tl8 Sn8'
_symmetry_space_group_name_H-M 'I m m m'
_symmetry_Int_Tables_number 71
_symmetry_space_group_name_Hall '-I 2 2'
_cell_length_a 4.681
_cell_length_b 7.983
_cell_length_c 18.467
_cell_angle_alpha 90.00
_cell_angle_beta 90.00
_cell_angle_gamma 90.00
loop_
_atom_site_label
_atom_site_type_symbol
_atom_site_fract_x
_atom_site_fract_y
_atom_site_fract_z
Na1 Na 0.000 0.000 0.000
Na2 Na 0.000 0.500 0.118
Tl1 Tl 0.000 0.000 0.236
Tl2 Tl 0.000 0.190 0.500
Sn1 Sn 0.000 0.311 0.347